This record from the Alexandria database describes crystalline CaZnW2 at its relaxed geometry. The functional is PBE-GGA.

Unit cell a=5.422 b=5.422 c=5.422 alpha=142.95 beta=125.45 gamma=67.79
Atoms (fractional coordinates):
Ca (0.246, 0.746, 0.500)
Zn (0.517, 0.517, 0.000)
W (0.768, 0.268, 0.500)
W (0.969, 0.969, 0.000)

Output
Energy   -6.566 eV/atom
V   19.3 Å³ per atom
Energy of formation   0.73 eV per atom

***

This record from the Alexandria database describes crystalline Mn2FeCuTc at its relaxed geometry. The functional is PBE-GGA.

Unit cell a=4.420 b=4.420 c=4.670 alpha=90.00 beta=90.00 gamma=90.00
Site moments in Bohr magnetons follow the coordinates.
Atoms (fractional coordinates):
Fe (0.500, 0.500, 0.500)  3.15
Cu (0.000, 0.000, 0.500)  -0.01
Mn (0.500, 0.000, 0.000)  2.63
Mn (0.000, 0.500, 0.000)  2.63
Tc (0.000, 0.000, 0.000)  -0.39

Output
Energy   -6.764 eV/atom
V   18.3 Å³ per atom
Energy of formation   1.49 eV per atom

***

This record from the Alexandria database describes crystalline Pm2Pr6Dy3Tl at its relaxed geometry. The functional is PBE-GGA.

Unit cell a=6.271 b=6.271 c=11.977 alpha=95.03 beta=95.03 gamma=120.14
Atoms (fractional coordinates):
Dy (0.167, 0.833, 0.500)
Dy (0.500, 0.500, 0.500)
Dy (0.833, 0.167, 0.500)
Pr (0.083, 0.410, 0.251)
Pr (0.917, 0.590, 0.749)
Pr (0.243, 0.243, 0.748)
Pr (0.757, 0.757, 0.252)
Pr (0.590, 0.917, 0.749)
Pr (0.410, 0.083, 0.251)
Pm (0.666, 0.334, 0.000)
Pm (0.334, 0.666, 0.000)
Tl (0.000, 0.000, 0.000)

Output
Energy   -4.552 eV/atom
V   33.4 Å³ per atom
Energy of formation   -0.02 eV per atom